No. 1
Density functional theory data (PBE) for a geometry-optimized BaBSb2Te structure.

Calculated values
**Energy above the most stable polymorph in this dataset**: 1565 meV per atom
**Space-group type**: P4/mmm, No. 123
**Uncorrected energy**: -2.314 eV/atom
**Density of states at the Fermi level**: 1.48 states/eV/atom
**ρ**: 3.3 g/cm³

Unit cell a=6.349 b=6.349 c=6.390 alpha=90.00 beta=90.00 gamma=90.00
Element x y z (fractional)
B (0.500, 0.500, 0.500)
Te (0.000, 0.000, 0.500)
Sb (0.500, 0.000, 0.000)
Sb (0.000, 0.500, 0.000)
Ba (0.000, 0.000, 0.000)


No. 2
Density functional theory data (PBE) for a geometry-optimized BaBSbTe2 structure.

Calculated values
**Energy above the most stable polymorph in this dataset**: 0 meV per atom
**Space-group type**: P4/mmm, No. 123
**Uncorrected energy**: -3.848 eV/atom
**Density of states at the Fermi level**: 0.27 states/eV/atom
**ρ**: 6.1 g/cm³

Unit cell a=5.620 b=5.620 c=4.531 alpha=90.00 beta=90.00 gamma=90.00
Element x y z (fractional)
Te (0.000, 0.500, 0.000)
Te (0.500, 0.000, 0.000)
B (0.000, 0.000, 0.000)
Ba (0.500, 0.500, 0.500)
Sb (0.000, 0.000, 0.500)


No. 3
Density functional theory data (PBE) for a geometry-optimized BaBSb2Te structure.

Calculated values
**Energy above the most stable polymorph in this dataset**: 0 meV per atom
**Space-group type**: P4/mmm, No. 123
**Uncorrected energy**: -3.879 eV/atom
**Density of states at the Fermi level**: 0.75 states/eV/atom
**ρ**: 6.3 g/cm³

Unit cell a=5.063 b=5.063 c=5.318 alpha=90.00 beta=90.00 gamma=90.00
Element x y z (fractional)
Ba (0.500, 0.500, 0.500)
B (0.000, 0.000, 0.000)
Sb (0.000, 0.500, 0.000)
Sb (0.500, 0.000, 0.000)
Te (0.000, 0.000, 0.500)


No. 4
Density functional theory data (PBE) for a geometry-optimized BaBSbTe2 structure.

Calculated values
**Energy above the most stable polymorph in this dataset**: 1515 meV per atom
**Space-group type**: P4/mmm, No. 123
**Uncorrected energy**: -2.333 eV/atom
**Density of states at the Fermi level**: 1.63 states/eV/atom
**ρ**: 3.2 g/cm³

Unit cell a=6.496 b=6.496 c=6.499 alpha=90.00 beta=90.00 gamma=90.00
Each line ends with the local moment (μB).
Element x y z (fractional)
Ba (0.000, 0.000, 0.000)  0.02
B (0.500, 0.500, 0.500)  -0.08
Te (0.000, 0.500, 0.000)  0.10
Te (0.500, 0.000, 0.000)  0.10
Sb (0.000, 0.000, 0.500)  0.49


No. 5
Density functional theory data (PBE) for a geometry-optimized BaSc3B structure.

Calculated values
**Energy above the most stable polymorph in this dataset**: 0 meV per atom
**Space-group type**: Pm-3m, No. 221
**Energy of formation from the pure elements**: 15 kJ/mol of atoms
**Uncorrected energy**: -5.368 eV/atom
**Density of states at the Fermi level**: 1.14 states/eV/atom
**ρ**: 3.8 g/cm³

Unit cell a=4.970 b=4.970 c=4.970 alpha=90.00 beta=90.00 gamma=90.00
Element x y z (fractional)
B (0.000, 0.000, 0.000)
Sc (0.000, 0.000, 0.500)
Sc (0.500, 0.000, 0.000)
Sc (0.000, 0.500, 0.000)
Ba (0.500, 0.500, 0.500)


No. 6
Density functional theory data (PBE) for a geometry-optimized BaSc3B structure.

Calculated values
**Energy above the most stable polymorph in this dataset**: 1972 meV per atom
**Space-group type**: Pm-3m, No. 221
**Energy of formation from the pure elements**: 205 kJ/mol of atoms
**Uncorrected energy**: -3.396 eV/atom
**Density of states at the Fermi level**: 1.08 states/eV/atom
**ρ**: 3.2 g/cm³

Unit cell a=5.261 b=5.261 c=5.261 alpha=90.00 beta=90.00 gamma=90.00
Element x y z (fractional)
Sc (0.500, 0.000, 0.000)
Sc (0.000, 0.000, 0.500)
Sc (0.000, 0.500, 0.000)
Ba (0.000, 0.000, 0.000)
B (0.500, 0.500, 0.500)


No. 7
Density functional theory data (PBE) for a geometry-optimized BaScB3 structure.

Calculated values
**Energy above the most stable polymorph in this dataset**: 0 meV per atom
**Space-group type**: Pm-3m, No. 221
**Energy of formation from the pure elements**: 116 kJ/mol of atoms
**Uncorrected energy**: -4.456 eV/atom
**Density of states at the Fermi level**: 0.72 states/eV/atom
**ρ**: 3.5 g/cm³

Unit cell a=4.674 b=4.674 c=4.674 alpha=90.00 beta=90.00 gamma=90.00
Each line ends with the local moment (μB).
Element x y z (fractional)
Ba (0.500, 0.500, 0.500)  0.00
Sc (0.000, 0.000, 0.000)  0.42
B (0.000, 0.000, 0.500)  0.07
B (0.000, 0.500, 0.000)  0.14
B (0.500, 0.000, 0.000)  0.16


No. 8
Density functional theory data (PBE) for a geometry-optimized Ba2ScB structure.

Calculated values
**Space-group type**: I-42d, No. 122
**Energy of formation from the pure elements**: 49 kJ/mol of atoms
**Uncorrected energy**: -3.702 eV/atom
**Density of states at the Fermi level**: 1.47 states/eV/atom
**ρ**: 3.5 g/cm³

Unit cell a=11.641 b=11.641 c=8.559 alpha=47.16 beta=47.16 gamma=90.00
Each line ends with the local moment (μB).
Element x y z (fractional)
Ba (0.375, 0.542, 0.750)  0.08
Ba (0.292, 0.625, 0.250)  0.07
Ba (0.458, 0.125, 0.250)  0.08
Ba (0.875, 0.708, 0.750)  0.08
B (0.250, 0.750, 0.500)  0.04
B (0.500, 0.500, 0.000)  0.04
Sc (0.000, 0.000, 0.000)  0.32
Sc (0.750, 0.250, 0.500)  0.32


No. 9
Density functional theory data (PBE) for a geometry-optimized BaScB3 structure.

Calculated values
**Energy above the most stable polymorph in this dataset**: 1236 meV per atom
**Space-group type**: Pm-3m, No. 221
**Energy of formation from the pure elements**: 235 kJ/mol of atoms
**Uncorrected energy**: -3.220 eV/atom
**Density of states at the Fermi level**: 1.08 states/eV/atom
**ρ**: 3.4 g/cm³

Unit cell a=4.710 b=4.710 c=4.710 alpha=90.00 beta=90.00 gamma=90.00
Element x y z (fractional)
B (0.500, 0.000, 0.000)
B (0.000, 0.500, 0.000)
B (0.000, 0.000, 0.500)
Ba (0.000, 0.000, 0.000)
Sc (0.500, 0.500, 0.500)


No. 10
Density functional theory data (PBE) for a geometry-optimized BaScBSe4 structure.

Calculated values
**Space-group type**: P2_1/m, No. 11
**Uncorrected energy**: -5.321 eV/atom
**ρ**: 4.9 g/cm³

Unit cell a=6.336 b=6.718 c=8.550 alpha=90.00 beta=107.91 gamma=90.00
Element x y z (fractional)
Se (0.003, 0.994, 0.290)
Se (0.997, 0.494, 0.710)
Se (0.598, 0.250, 0.837)
Se (0.423, 0.750, 0.565)
Se (0.003, 0.506, 0.290)
Se (0.402, 0.750, 0.163)
Se (0.997, 0.006, 0.710)
Se (0.577, 0.250, 0.435)
Ba (0.736, 0.750, 0.933)
Ba (0.264, 0.250, 0.067)
B (0.786, 0.250, 0.673)
B (0.214, 0.750, 0.327)
Sc (0.767, 0.750, 0.446)
Sc (0.233, 0.250, 0.554)


No. 11
Density functional theory data (PBE) for a geometry-optimized BaScTiB2 structure.

Calculated values
**Energy above the most stable polymorph in this dataset**: 416 meV per atom
**Space-group type**: P4/mmm, No. 123
**Energy of formation from the pure elements**: 125 kJ/mol of atoms
**Uncorrected energy**: -4.607 eV/atom
**Density of states at the Fermi level**: 1.04 states/eV/atom
**ρ**: 4.2 g/cm³

Unit cell a=4.424 b=5.137 c=4.424 alpha=90.00 beta=90.00 gamma=90.00
Element x y z (fractional)
Sc (0.500, 0.500, 0.500)
Ba (0.000, 0.500, 0.000)
Ti (0.000, 0.000, 0.000)
B (0.500, 0.000, 0.000)
B (0.000, 0.000, 0.500)


No. 12
Density functional theory data (PBE) for a geometry-optimized BaScTiB2 structure.

Calculated values
**Energy above the most stable polymorph in this dataset**: 0 meV per atom
**Space-group type**: P4/mmm, No. 123
**Energy of formation from the pure elements**: 85 kJ/mol of atoms
**Uncorrected energy**: -5.023 eV/atom
**Density of states at the Fermi level**: 0.76 states/eV/atom
**ρ**: 4.1 g/cm³

Unit cell a=4.645 b=4.700 c=4.645 alpha=90.00 beta=90.00 gamma=90.00
Element x y z (fractional)
B (0.500, 0.000, 0.000)
B (0.000, 0.000, 0.500)
Sc (0.000, 0.500, 0.000)
Ba (0.500, 0.500, 0.500)
Ti (0.000, 0.000, 0.000)


What did the seventh record say?
Density functional theory data (PBE) for a geometry-optimized BaScB3 structure.

Calculated values
**Energy above the most stable polymorph in this dataset**: 0 meV per atom
**Space-group type**: Pm-3m, No. 221
**Energy of formation from the pure elements**: 116 kJ/mol of atoms
**Uncorrected energy**: -4.456 eV/atom
**Density of states at the Fermi level**: 0.72 states/eV/atom
**ρ**: 3.5 g/cm³

Unit cell a=4.674 b=4.674 c=4.674 alpha=90.00 beta=90.00 gamma=90.00
Each line ends with the local moment (μB).
Element x y z (fractional)
Ba (0.500, 0.500, 0.500)  0.00
Sc (0.000, 0.000, 0.000)  0.42
B (0.000, 0.000, 0.500)  0.07
B (0.000, 0.500, 0.000)  0.14
B (0.500, 0.000, 0.000)  0.16


- The highest ρ belongs to which entry?
  number 3


- What is the uncorrected energy in the seventh record?
  -4.456 eV/atom